(1)
A geometry-optimized P5C structure. Source: Alexandria, functional GGA-PBE.

The formation energy is 21.4 kcal/mol of atoms. The calculation puts the density of states at the Fermi level at 2.54 states/eV/f.u.

The space group is P-62m (No. 189) and the conventional cell measures 5.4415, 5.4415 and 3.0470 Å, with angles of 90.00, 90.00 and 120.00 degrees. The asymmetric unit holds P at (0.0000, 0.7073, 0.0000), P at (0.3333, 0.6667, 0.5000) and C at (0.0000, 0.0000, 0.5000).


(2)
A geometry-optimized Li3Hg structure. Source: Alexandria, functional GGA-PBE.

The formation energy is -5.0 kcal/mol of atoms. The calculation puts the density of states at the Fermi level at 1.73 states/eV/f.u.

The space group is R-3m (No. 166, hexagonal axes) and the conventional cell measures 9.1143, 9.1143 and 3.0463 Å, with angles of 90.00, 90.00 and 120.00 degrees. The asymmetric unit holds Li at (0.0000, 0.5000, 0.0000) and Hg at (0.0000, 0.0000, 0.0000).


(3)
A geometry-optimized SrAcTlZn structure. Source: Alexandria, functional GGA-PBE.

The formation energy is -7.0 kcal/mol of atoms. The calculation puts the density of states at the Fermi level at 3.39 states/eV/f.u.

The space group is P4mm (No. 99) and the conventional cell measures 3.983, 3.983 and 8.209 Å, with angles of 90.00, 90.00 and 90.00 degrees. The asymmetric unit holds Sr at (0.000, 0.000, 0.000), Ac at (0.000, 0.000, 0.531), Tl at (0.500, 0.500, 0.265) and Zn at (0.500, 0.500, 0.758).


(4)
A geometry-optimized CsKBiF6 structure. Source: Alexandria, functional GGA-PBE.

The calculation puts the density of states at the Fermi level at 2.23 states/eV/f.u. The calculation puts the energy relative to the elements, uncorrected at -2484 meV per atom.

The space group is P-31c (No. 163) and the conventional cell measures 6.7797, 6.7797 and 10.9655 Å, with angles of 90.00, 90.00 and 120.00 degrees. The asymmetric unit holds Cs at (0.0000, 0.0000, 0.0000), K at (0.3333, 0.6667, 0.2500), Bi at (0.3333, 0.6667, 0.7500) and F at (0.0584, 0.4047, 0.6421).


(5)
A geometry-optimized NiPtBr2 structure. Source: Alexandria, functional GGA-PBE.

The calculation puts the density of states at the Fermi level at 2.21 states/eV/f.u. The calculation puts the energy relative to the elements, uncorrected at 102 meV per atom.

The space group is C2/m (No. 12) and the conventional cell measures 13.857, 3.390 and 4.442 Å, with angles of 90.00, 99.10 and 90.00 degrees. The asymmetric unit holds Ni at (0.000, 0.000, 0.000), Pt at (0.000, 0.500, 0.500) and Br at (0.130, 0.500, 0.193).


(6)
A geometry-optimized CsCaHg4 structure. Source: Alexandria, functional GGA-PBE.

The formation energy is -3.7 kcal/mol of atoms. The calculation puts the density of states at the Fermi level at 2.75 states/eV/f.u.

The space group is F-43m (No. 216) and the conventional cell measures 9.081, 9.081 and 9.081 Å, with angles of 90.00, 90.00 and 90.00 degrees. The asymmetric unit holds Cs at (0.000, 0.000, 0.000), Ca at (0.250, 0.250, 0.750) and Hg at (0.124, 0.124, 0.376).


(7)
A geometry-optimized Pm2AlBr structure. Source: Alexandria, functional GGA-PBE.

The calculation puts the density of states at the Fermi level at 2.52 states/eV/f.u. The calculation puts the energy relative to the elements, uncorrected at -729 meV per atom.

The space group is P4/mmm (No. 123) and the conventional cell measures 3.514, 3.514 and 8.504 Å, with angles of 90.00, 90.00 and 90.00 degrees. The asymmetric unit holds Pm at (0.000, 0.000, 0.229), Al at (0.500, 0.500, 0.000) and Br at (0.500, 0.500, 0.500).


(8)
A geometry-optimized ZrCoAu3 structure. Source: Alexandria, functional GGA-PBE.

The formation energy is 14.0 kcal/mol of atoms. The calculation puts the density of states at the Fermi level at 11.52 states/eV/f.u.

The space group is Pm-3m (No. 221) and the conventional cell measures 4.702, 4.702 and 4.702 Å, with angles of 90.00, 90.00 and 90.00 degrees. The asymmetric unit holds Zr at (0.000, 0.000, 0.000), Co at (0.500, 0.500, 0.500) and Au at (0.000, 0.500, 0.500).


(9)
A geometry-optimized FeTc2As structure. Source: Alexandria, functional GGA-PBE.

The formation energy is 3.2 kcal/mol of atoms. The calculation puts the density of states at the Fermi level at 4.31 states/eV/f.u.

The space group is I-4m2 (No. 119) and the conventional cell measures 3.717, 3.717 and 7.996 Å, with angles of 90.00, 90.00 and 90.00 degrees. The asymmetric unit holds Fe at (0.000, 0.000, 0.000), Tc at (0.000, 0.000, 0.500), Tc at (0.000, 0.500, 0.750) and As at (0.000, 0.500, 0.250).


(10)
A geometry-optimized Ti5Sn2H structure. Source: Alexandria, functional GGA-PBE.

The calculation puts the density of states at the Fermi level at 8.31 states/eV/f.u. The calculation puts the electronic total energy at -6.658 eV per atom.

The space group is Pnma (No. 62) and the conventional cell measures 7.283, 5.815 and 12.419 Å, with angles of 90.00, 90.00 and 90.00 degrees. The asymmetric unit holds Ti at (0.000, 0.000, 0.000), Ti at (0.013, 0.250, 0.210), Ti at (0.166, 0.509, 0.623), Ti at (0.172, 0.750, 0.412), Sn at (0.014, 0.750, 0.203), Sn at (0.172, 0.250, 0.423) and H at (0.171, 0.250, 0.053).


(11)
A geometry-optimized Nd2YHo4Mg structure. Source: Alexandria, functional GGA-PBE.

The formation energy is 0.7 kcal/mol of atoms. The calculation puts the density of states at the Fermi level at 12.66 states/eV/f.u.

The space group is P2/m (No. 10) and the conventional cell measures 4.987, 4.975 and 10.124 Å, with angles of 90.00, 90.04 and 90.00 degrees. The asymmetric unit holds Nd at (0.000, 0.000, 0.000), Nd at (0.500, 0.500, 0.500), Y at (0.000, 0.000, 0.500), Ho at (0.000, 0.500, 0.249), Ho at (0.500, 0.000, 0.249) and Mg at (0.500, 0.500, 0.000).


(12)
A geometry-optimized TbNdCuRu structure. Source: Alexandria, functional GGA-PBE.

The formation energy is -5.4 kcal/mol of atoms. The calculation puts the density of states at the Fermi level at 3.40 states/eV/f.u.

The space group is Amm2 (No. 38) and the conventional cell measures 4.314, 3.913 and 10.622 Å, with angles of 90.00, 90.00 and 90.00 degrees. The asymmetric unit holds Tb at (0.000, 0.000, 0.000), Nd at (0.500, 0.000, 0.281), Cu at (0.000, 0.000, 0.707) and Ru at (0.500, 0.000, 0.560).